# 1
Computed, not measured: an optimized crystal structure of SrCd2ReO6 at the GGA-PBE level of DFT.

ΔE_f (raw)	-1.610	eV/atom

abc: 5.776 5.843 8.367
angles: 90.00 90.14 90.00
Atoms (fractional coordinates):
Cd 0.488 0.529 0.767
Sr 0.500 0.000 0.000
Cd 0.012 0.029 0.733
O 0.106 0.402 0.786
O 0.125 0.222 0.084
Sr 0.000 0.500 0.500
Cd 0.512 0.471 0.233
O 0.606 0.098 0.286
O 0.704 0.358 0.962
O 0.375 0.722 0.416
Cd 0.988 0.971 0.267
Re 0.500 0.000 0.500
O 0.204 0.142 0.462
O 0.296 0.642 0.038
O 0.796 0.858 0.538
O 0.394 0.902 0.714
Re 0.000 0.500 0.000
O 0.625 0.278 0.584
O 0.875 0.778 0.916
O 0.894 0.598 0.214

***

# 2
Computed, not measured: an optimized crystal structure of V12ZnGa3 at the GGA-PBE level of DFT.

DFT formation energy	-0.12	eV per atom

abc: 4.781 4.780 9.549
angles: 90.00 90.00 90.00
Atoms (fractional coordinates):
V 0.000 0.250 0.250
Ga 0.000 0.000 0.000
V 0.500 0.000 0.378
V 0.000 0.250 0.750
V 0.500 0.000 0.872
Zn 0.000 0.000 0.500
V 0.749 0.500 0.000
V 0.500 0.000 0.128
V 0.000 0.750 0.750
V 0.248 0.500 0.500
V 0.000 0.750 0.250
Ga 0.500 0.500 0.750
V 0.251 0.500 0.000
Ga 0.500 0.500 0.250
V 0.500 0.000 0.622
V 0.752 0.500 0.500

***

# 3
Computed, not measured: an optimized crystal structure of MoOsAu2 at the GGA-PBE level of DFT.

E above lowest polymorph	0.3426	eV/atom
DFT formation energy	0.51	eV per atom

abc: 4.271 2.838 6.081
angles: 62.15 90.00 90.00
Atoms (fractional coordinates):
Au 0.000 0.000 0.001
Au 0.000 0.500 0.499
Os 0.500 0.750 0.750
Mo 0.500 0.250 0.250

***

no.,ρ (Mg/m³),spin magnetization (μB/f.u.),uncorrected energy (eV/atom)
1,6.99,0.74,-6.181
2,6.74,1.81,-7.606
3,17.33,0.00,-6.641